1.
LiCd4Ag7 after structural relaxation. Source: Alexandria, functional PBE.

Calculated values
The value obtained for the excess energy over the best structure of this formula in the dataset is 0.043 eV/atom. The calculation puts the formation energy from the elements at 0.019 eV per atom.

Cell and atoms, written as POSCAR:
```
LiCd4Ag7
1.0
5.1983 -2.4824 0.0000
5.1983 2.4824 0.0000
-5.0475 0.0000 9.3663
Li Cd Ag
1 4 7
direct
0.0000 0.0000 0.0000 Li
0.2741 0.2741 0.6939 Cd
0.4014 0.4014 0.2248 Cd
0.5986 0.5986 0.7752 Cd
0.7259 0.7259 0.3061 Cd
0.0398 0.0398 0.3740 Ag
0.2047 0.2047 0.9215 Ag
0.3504 0.3504 0.4697 Ag
0.5000 0.5000 0.0000 Ag
0.6496 0.6496 0.5303 Ag
0.7953 0.7953 0.0785 Ag
0.9602 0.9602 0.6260 Ag
```

***

2.
Li2CoRhN after structural relaxation. Source: Alexandria, functional PBE.

Calculated values
The calculation puts the final energy at -5.392 eV/atom.

Cell and atoms, written as POSCAR:
```
Li2CoRhN
1.0
3.9814 0.0000 0.0000
0.0000 3.9814 0.0000
0.0000 0.0000 3.4485
Li Co Rh N
2 1 1 1
direct
0.0000 0.5000 0.0000 Li
0.5000 0.0000 0.0000 Li
0.0000 0.0000 0.5000 Co
0.5000 0.5000 0.5000 Rh
0.0000 0.0000 0.0000 N
```

***

What did the first record say?
LiCd4Ag7 after structural relaxation. Source: Alexandria, functional PBE.

Calculated values
The value obtained for the excess energy over the best structure of this formula in the dataset is 0.043 eV/atom. The calculation puts the formation energy from the elements at 0.019 eV per atom.

Cell and atoms, written as POSCAR:
```
LiCd4Ag7
1.0
5.1983 -2.4824 0.0000
5.1983 2.4824 0.0000
-5.0475 0.0000 9.3663
Li Cd Ag
1 4 7
direct
0.0000 0.0000 0.0000 Li
0.2741 0.2741 0.6939 Cd
0.4014 0.4014 0.2248 Cd
0.5986 0.5986 0.7752 Cd
0.7259 0.7259 0.3061 Cd
0.0398 0.0398 0.3740 Ag
0.2047 0.2047 0.9215 Ag
0.3504 0.3504 0.4697 Ag
0.5000 0.5000 0.0000 Ag
0.6496 0.6496 0.5303 Ag
0.7953 0.7953 0.0785 Ag
0.9602 0.9602 0.6260 Ag
```